Record 1
Y2SO: relaxed, PBE-GGA.

Cell: 3.9165 3.9165 10.8974 Å, 90.00 90.00 90.00°
Last column: nearest neighbours and their distance in Å.
Atoms (fractional coordinates):
Y 0.2500 0.2500 0.1003  4 O 2.24
Y 0.2500 0.2500 0.6121  5 S 2.72-2.78
Y 0.7500 0.7500 0.3879  5 S 2.72-2.78
Y 0.7500 0.7500 0.8997  4 O 2.24
S 0.2500 0.2500 0.3624  6 Y 2.72-2.86
S 0.7500 0.7500 0.6376  6 Y 2.72-2.86
O 0.2500 0.7500 0.0000  4 Y 2.24
O 0.7500 0.2500 0.0000  4 Y 2.24

Output
- Energy relative to the lowest polymorph listed for this composition: 0.00 eV/f.u.
- Uncorrected energy: -7.93 eV/atom

Record 2
Y2S2O: relaxed, PBE-GGA.

Cell: 8.3197 6.9303 6.8941 Å, 90.00 99.29 90.00°
Last column: nearest neighbours and their distance in Å.
Atoms (fractional coordinates):
Y 0.0760 0.1440 0.3213  3 O 2.26-2.30
Y 0.0760 0.3560 0.8213  3 O 2.26-2.30
Y 0.3619 0.5546 0.2504  1 O 2.27
Y 0.3619 0.9454 0.7504  1 O 2.27
Y 0.6381 0.0546 0.2496  1 O 2.27
Y 0.6381 0.4454 0.7496  1 O 2.27
Y 0.9240 0.6440 0.1787  3 O 2.26-2.30
Y 0.9240 0.8560 0.6787  3 O 2.26-2.30
S 0.1806 0.6336 0.5773  4 Y 2.79-2.96
S 0.1806 0.8664 0.0773  4 Y 2.79-2.96
S 0.4248 0.2236 0.4697  5 Y 2.75-2.97
S 0.4248 0.2764 0.9697  5 Y 2.75-2.97
S 0.5752 0.7236 0.0303  5 Y 2.75-2.97
S 0.5752 0.7764 0.5303  5 Y 2.75-2.97
S 0.8194 0.1336 0.9227  4 Y 2.79-2.96
S 0.8194 0.3664 0.4227  4 Y 2.79-2.96
O 0.1172 0.0874 0.6496  4 Y 2.26-2.30
O 0.1172 0.4126 0.1496  4 Y 2.26-2.30
O 0.8828 0.5874 0.8504  4 Y 2.26-2.30
O 0.8828 0.9126 0.3504  4 Y 2.26-2.30

Output
- Energy relative to the lowest polymorph listed for this composition: 0.00 eV/f.u.
- Uncorrected energy: -7.84 eV/atom

Record 3
Y3SO3: relaxed, PBE-GGA.

Cell: 7.6017 7.6017 7.6017 Å, 51.33 51.33 51.33°
Last column: nearest neighbours and their distance in Å.
Atoms (fractional coordinates):
Y 0.0928 0.4267 0.7603  4 O 2.26-2.32
Y 0.2397 0.9072 0.5733  4 O 2.26-2.32
Y 0.4267 0.7603 0.0928  4 O 2.26-2.32
Y 0.5733 0.2397 0.9072  4 O 2.26-2.32
Y 0.7603 0.0928 0.4267  4 O 2.26-2.32
Y 0.9072 0.5733 0.2397  4 O 2.26-2.32
S 0.3332 0.3332 0.3332  6 Y 2.86-2.87
S 0.6668 0.6668 0.6668  6 Y 2.86-2.87
O 0.1235 0.7914 0.4525  4 Y 2.26-2.32
O 0.2086 0.5475 0.8765  4 Y 2.26-2.32
O 0.4525 0.1235 0.7914  4 Y 2.26-2.32
O 0.5475 0.8765 0.2086  4 Y 2.26-2.32
O 0.7914 0.4525 0.1235  4 Y 2.26-2.32
O 0.8765 0.2086 0.5475  4 Y 2.26-2.32

Output
- Uncorrected energy: -8.57 eV/atom

Record 4
YSO: relaxed, PBE-GGA.

Cell: 9.5324 4.2687 6.4191 Å, 90.00 90.00 90.00°
Last column: nearest neighbours and their distance in Å.
Atoms (fractional coordinates):
Y 0.1018 0.2500 0.2477  2 O 2.17
Y 0.3982 0.7500 0.7477  2 O 2.17
Y 0.6018 0.2500 0.2523  2 O 2.17
Y 0.8982 0.7500 0.7523  2 O 2.17
S 0.1515 0.7500 0.9812  4 Y 2.78-2.83
S 0.3485 0.2500 0.4812  4 Y 2.78-2.83
S 0.6515 0.7500 0.5188  4 Y 2.78-2.83
S 0.8485 0.2500 0.0188  4 Y 2.78-2.83
O 0.0000 0.0000 0.5000  2 O 2.13, 2 Y 2.17
O 0.0000 0.5000 0.5000  2 O 2.13, 2 Y 2.17
O 0.5000 0.0000 0.0000  2 O 2.13, 2 Y 2.17
O 0.5000 0.5000 0.0000  2 O 2.13, 2 Y 2.17

Output
- Uncorrected energy: -7.04 eV/atom

Record 5
YS3O: relaxed, PBE-GGA.

Cell: 4.3294 4.3294 4.3294 Å, 90.00 90.00 90.00°
Last column: nearest neighbours and their distance in Å.
Atoms (fractional coordinates):
Y 0.0000 0.0000 0.0000  12 S 3.06
S 0.0000 0.5000 0.5000  2 O 2.16
S 0.5000 0.0000 0.5000  2 O 2.16
S 0.5000 0.5000 0.0000  2 O 2.16
O 0.5000 0.5000 0.5000  6 S 2.16

Output
- Energy relative to the lowest polymorph listed for this composition: 0.00 eV/f.u.
- Uncorrected energy: -5.22 eV/atom

Record 6
Y2SO6: relaxed, PBE-GGA.

Cell: 8.2844 8.2844 7.4509 Å, 111.65 111.65 97.85°
Last column: nearest neighbours and their distance in Å.
Atoms (fractional coordinates):
Y 0.0658 0.2108 0.0103  5 O 2.14-2.32
Y 0.2108 0.0658 0.5103  5 O 2.14-2.32
Y 0.7892 0.9342 0.4897  5 O 2.14-2.32
Y 0.9342 0.7892 0.9897  5 O 2.14-2.32
S 0.3192 0.6808 0.2500  4 O 1.48-1.50
S 0.6808 0.3192 0.7500  4 O 1.48-1.50
O 0.0757 0.1462 0.7102  3 Y 2.14-2.30
O 0.1462 0.0757 0.2102  3 Y 2.14-2.30
O 0.1755 0.6742 0.0512  1 S 1.50
O 0.2755 0.5004 0.2482  1 S 1.48
O 0.3258 0.8245 0.4488  1 S 1.50
O 0.5004 0.2755 0.7482  1 S 1.48
O 0.4996 0.7245 0.2518  1 S 1.48
O 0.6742 0.1755 0.5512  1 S 1.50
O 0.7245 0.4996 0.7518  1 S 1.48
O 0.8245 0.3258 0.9488  1 S 1.50
O 0.8538 0.9243 0.7898  3 Y 2.14-2.30
O 0.9243 0.8538 0.2898  3 Y 2.14-2.30

Output
- Uncorrected energy: -7.74 eV/atom

Record 7
Y2SO: relaxed, PBE-GGA.

Cell: 6.8441 6.8441 6.8441 Å, 30.29 30.29 30.29°
Last column: nearest neighbours and their distance in Å.
Atoms (fractional coordinates):
Y 0.0000 0.0000 0.0000  3 O 2.53, 3 S 2.66
Y 0.1608 0.1608 0.1608  3 O 2.67, 3 S 2.68
S 0.5810 0.5810 0.5810  6 Y 2.66-2.68
O 0.4079 0.4079 0.4079  6 Y 2.53-2.67

Output
- Energy relative to the lowest polymorph listed for this composition: 1.15 eV/f.u.
- Uncorrected energy: -7.64 eV/atom

Record 8
Y3S2O2: relaxed, PBE-GGA.

Cell: 6.5925 6.5925 6.4118 Å, 115.13 115.13 33.42°
Last column: nearest neighbours and their distance in Å.
Atoms (fractional coordinates):
Y 0.0000 0.0000 0.0000  2 O 2.29
Y 0.2230 0.2230 0.7038  3 O 2.24-2.32
Y 0.7770 0.7770 0.2962  3 O 2.24-2.32
S 0.3999 0.3999 0.1729  5 Y 2.77-2.84
S 0.6001 0.6001 0.8271  5 Y 2.77-2.84
O 0.1781 0.1781 0.3250  4 Y 2.24-2.32
O 0.8219 0.8219 0.6750  4 Y 2.24-2.32

Output
- Uncorrected energy: -8.09 eV/atom

| no. | ΔE_f (raw) (eV per atom) |
| --- | --- |
| 1 | -2.422 |
| 2 | -2.616 |
| 3 | -3.086 |
| 4 | -1.859 |
| 5 | -0.457 |
| 6 | -2.541 |
| 7 | -2.135 |
| 8 | -2.725 |